# CdCoGeP PBE optimized geometry
# energy relative to the lowest polymorph listed for this composition: 52 meV/atom
# calculated formation energy: -0.06 eV per atom
data_CdCoGeP
_cell_length_a 3.7569
_cell_length_b 3.7569
_cell_length_c 6.0232
_cell_angle_alpha 90.00
_cell_angle_beta 90.00
_cell_angle_gamma 120.00
_symmetry_space_group_name_H-M 'P 3 m 1'
_symmetry_Int_Tables_number 156
_symmetry_space_group_name_Hall 'P 3 -2"'
loop_
_atom_site_label
_atom_site_fract_x
_atom_site_fract_y
_atom_site_fract_z
Cd1 0.0000 0.0000 0.0000
Co1 0.6667 0.3333 0.6615
Ge1 0.0000 0.0000 0.4381
P1 0.3333 0.6667 0.6962